LaNiSe2, relaxed, DFT PBE; ΔE_f (raw) = -0.74 eV per atom; symmetry = Cmmm, No. 65; ρ = 6.28 g cm⁻³; crystal system = orthorhombic; M_tot = 0.2325 μB/atom
1.0
3.837 -0.063 0.000
-1.576 3.499 0.000
0.000 0.000 7.047
Ni Se La
1 2 1
direct
0.500 0.500 0.750
0.000 0.000 0.966
0.000 0.000 0.534
0.500 0.500 0.250